[1]
{
  "formula": "Er5NiPb3",
  "functional": "GGA-PBEsol",
  "state": "relaxed",
  "n_ef_per_ev_cell": 11.66,
  "crystal_system": "hexagonal",
  "vol_a3_per_cell": 452.4,
  "space_group": "No. 193",
  "magnetic_moment_mub_per_atom": 0.000,
  "formation_enthalpy_0k_ev_per_fu": -4.98,
  "cell": [[6.510, 0.000, 0.000], [0.000, 8.957, 0.000], [0.000, -4.479, 7.757]],
  "species": ["Er", "Er", "Er", "Er", "Er", "Er", "Er", "Er", "Er", "Er", "Ni", "Ni", "Pb", "Pb", "Pb", "Pb", "Pb", "Pb"],
  "frac_coords": [[0.750, 0.239, 0.000], [0.250, 0.000, 0.761], [0.750, 0.000, 0.239], [0.000, 0.333, 0.667], [0.250, 0.761, 0.000], [0.000, 0.667, 0.333], [0.250, 0.239, 0.239], [0.750, 0.761, 0.761], [0.500, 0.333, 0.667], [0.500, 0.667, 0.333], [0.500, 0.000, 0.000], [0.000, 0.000, 0.000], [0.250, 0.601, 0.601], [0.750, 0.601, 0.000], [0.250, 0.399, 0.000], [0.250, 0.000, 0.399], [0.750, 0.000, 0.601], [0.750, 0.399, 0.399]]
}


[2]
{
  "formula": "La4Hg5",
  "functional": "GGA-PBEsol",
  "state": "relaxed",
  "n_ef_per_ev_cell": 19.86,
  "crystal_system": "hexagonal",
  "vol_a3_per_cell": 501.3,
  "space_group": "No. 193",
  "magnetic_moment_mub_per_atom": 0.000,
  "formation_enthalpy_0k_ev_per_fu": -4.40,
  "cell": [[-2.735, -4.309, -4.271], [-0.742, -6.303, 6.835], [-6.964, 5.996, -1.590]],
  "species": ["Hg", "Hg", "Hg", "Hg", "Hg", "Hg", "Hg", "Hg", "Hg", "Hg", "La", "La", "La", "La", "La", "La", "La", "La"],
  "frac_coords": [[0.750, 0.000, 0.697], [0.750, 0.697, 0.000], [0.750, 0.303, 0.303], [0.250, 0.000, 0.303], [0.250, 0.303, 0.000], [0.250, 0.697, 0.697], [0.000, 0.333, 0.667], [0.500, 0.667, 0.333], [0.000, 0.667, 0.333], [0.500, 0.333, 0.667], [0.000, 0.000, 0.000], [0.500, 0.000, 0.000], [0.750, 0.000, 0.370], [0.750, 0.370, 0.000], [0.750, 0.630, 0.630], [0.250, 0.000, 0.630], [0.250, 0.630, 0.000], [0.250, 0.370, 0.370]]
}


[3]
{
  "formula": "CaZr2Pt",
  "functional": "GGA-PBEsol",
  "state": "relaxed",
  "relative_energy_mev_per_atom": 59,
  "n_ef_per_ev_cell": 3.80,
  "crystal_system": "cubic",
  "vol_a3_per_cell": 82.6,
  "space_group": "No. 216",
  "magnetic_moment_mub_per_atom": 0.638,
  "formation_enthalpy_0k_ev_per_fu": -0.20,
  "cell": [[-3.822, 0.393, -3.022], [-4.058, -2.592, 0.842], [-4.073, 2.253, 1.491]],
  "species": ["Ca", "Zr", "Zr", "Pt"],
  "frac_coords": [[0.500, 0.500, 0.500], [0.000, 0.000, 0.000], [0.750, 0.750, 0.750], [0.250, 0.250, 0.250]]
}


[4]
{
  "formula": "NiIr2Os",
  "functional": "GGA-PBEsol",
  "state": "relaxed",
  "relative_energy_mev_per_atom": 44,
  "n_ef_per_ev_cell": 4.13,
  "crystal_system": "monoclinic",
  "vol_a3_per_cell": 53.0,
  "space_group": "No. 12",
  "magnetic_moment_mub_per_atom": 0.000,
  "formation_enthalpy_0k_ev_per_fu": 0.17,
  "cell": [[-2.652, 0.201, 0.263], [0.353, -1.126, 4.418], [1.687, 4.281, 0.165]],
  "species": ["Ni", "Ir", "Ir", "Os"],
  "frac_coords": [[0.500, 0.000, 0.000], [0.250, 0.248, 0.500], [0.750, 0.752, 0.500], [0.000, 0.500, 0.000]]
}


[5]
{
  "formula": "LiY2Tc",
  "functional": "GGA-PBEsol",
  "state": "relaxed",
  "n_ef_per_ev_cell": 3.34,
  "crystal_system": "orthorhombic",
  "vol_a3_per_cell": 84.1,
  "space_group": "No. 44",
  "magnetic_moment_mub_per_atom": 0.000,
  "formation_enthalpy_0k_ev_per_fu": 0.90,
  "cell": [[3.531, 0.000, 0.000], [0.000, 4.800, 0.000], [-1.766, -2.400, 4.964]],
  "species": ["Li", "Tc", "Y", "Y"],
  "frac_coords": [[0.538, 0.538, 0.076], [0.238, 0.738, 0.477], [0.967, 0.967, 0.934], [0.757, 0.257, 0.514]]
}


[6]
{
  "formula": "TlFeCo2Sb",
  "functional": "GGA-PBEsol",
  "state": "relaxed",
  "n_ef_per_ev_cell": 6.99,
  "crystal_system": "tetragonal",
  "vol_a3_per_cell": 94.1,
  "space_group": "No. 123",
  "raw_formation_energy_ev_per_atom": 0.90,
  "magnetic_moment_mub_per_atom": 1.156,
  "cell": [[4.506, 0.000, 0.000], [0.000, 4.506, 0.000], [0.000, 0.000, 4.632]],
  "species": ["Sb", "Tl", "Co", "Co", "Fe"],
  "frac_coords": [[0.000, 0.000, 0.500], [0.500, 0.500, 0.500], [0.000, 0.500, 0.000], [0.500, 0.000, 0.000], [0.000, 0.000, 0.000]]
}